A plane-wave DFT calculation with GGA-PBE was carried out for crystalline KBeSi2Pd at its relaxed geometry.

Computed properties:
D(E_F) = 2.2 states/eV per cell
uncorrected formation energy = 0.379 eV/atom
E_tot = -3.79 eV per atom
SG = No. 123

Unit cell a=4.4774 b=4.4774 c=4.6291 alpha=90.00 beta=90.00 gamma=90.00
With the nearest neighbours (Å) after each atom.
Sites, in units of the cell vectors:
K  0.0000  0.0000  0.0000  4 Pd 3.17, 8 Si 3.22
Be  0.5000  0.5000  0.5000  4 Si 2.24, 2 Pd 2.31
Si  0.0000  0.5000  0.5000  2 Be 2.24
Si  0.5000  0.0000  0.5000  2 Be 2.24
Pd  0.5000  0.5000  0.0000  2 Be 2.31



A plane-wave DFT calculation with GGA-PBE was carried out for crystalline AcHoCd at its relaxed geometry.

Computed properties:
D(E_F) = 6.3 states/eV per cell
energy relative to the lowest polymorph listed for this composition = 2 meV per atom
DFT formation energy = -0.16 eV per atom
E_tot = -3.36 eV per atom
SG = No. 129

Unit cell a=5.0303 b=5.0303 c=8.0410 alpha=90.00 beta=90.00 gamma=90.00
With the nearest neighbours (Å) after each atom.
Sites, in units of the cell vectors:
Ac  0.2500  0.2500  0.1398  1 Cd 3.27
Ac  0.7500  0.7500  0.8602  1 Cd 3.27
Ho  0.2500  0.7500  0.5000  4 Cd 3.14
Ho  0.7500  0.2500  0.5000  4 Cd 3.14
Cd  0.2500  0.2500  0.7331  4 Ho 3.14, 1 Ac 3.27
Cd  0.7500  0.7500  0.2669  4 Ho 3.14, 1 Ac 3.27



A plane-wave DFT calculation with GGA-PBE was carried out for crystalline SrMnPb at its relaxed geometry.

Computed properties:
D(E_F) = 2.4 states/eV per cell
DFT formation energy = 0.69 eV per atom
E_tot = -4.17 eV per atom
SG = No. 216

Unit cell a=5.3090 b=5.3090 c=5.3090 alpha=60.00 beta=60.00 gamma=60.00
With the nearest neighbours (Å) after each atom.
Sites, in units of the cell vectors:
Sr  0.0000  0.0000  0.0000  4 Pb 3.25, 4 Mn 3.25
Mn  0.2500  0.2500  0.2500  4 Sr 3.25
Pb  0.7500  0.7500  0.7500  4 Sr 3.25



A plane-wave DFT calculation with GGA-PBE was carried out for crystalline BePt3Pb at its relaxed geometry.

Computed properties:
D(E_F) = 2.8 states/eV per cell
energy relative to the lowest polymorph listed for this composition = 1635 meV per atom
DFT formation energy = 1.58 eV per atom
E_tot = -3.54 eV per atom
SG = No. 221

Unit cell a=5.0412 b=5.0412 c=5.0412 alpha=90.00 beta=90.00 gamma=90.00
With the nearest neighbours (Å) after each atom.
Sites, in units of the cell vectors:
Be  0.0000  0.0000  0.0000  12 Pt 3.56
Pt  0.0000  0.5000  0.5000  2 Pb 2.52
Pt  0.5000  0.0000  0.5000  2 Pb 2.52
Pt  0.5000  0.5000  0.0000  2 Pb 2.52
Pb  0.5000  0.5000  0.5000  6 Pt 2.52